SnS2BrN: single point on PBEsol structure, SCAN.

## Properties
* formation energy (no corrections): 1.278 eV per atom
* space-group type: P4/mmm

Unit cell a=3.7578 b=5.0053 c=5.0053 alpha=90.00 beta=90.00 gamma=90.00
Sites, in units of the cell vectors:
Sn 0.5000 0.5000 0.5000
S 0.0000 0.5000 0.0000
S 0.0000 0.0000 0.5000
N 0.5000 0.0000 0.0000
Br 0.0000 0.0000 0.0000

KMn2Zn: single point on PBEsol structure, SCAN.

## Properties
* ΔE_f: 66 kJ per mole of atoms
* space-group type: F-43m

Unit cell a=4.8539 b=4.8539 c=4.8539 alpha=60.00 beta=60.00 gamma=60.00
Sites, in units of the cell vectors:
K 0.5000 0.5000 0.5000
Mn 0.7500 0.7500 0.7500
Mn 0.0000 0.0000 0.0000
Zn 0.2500 0.2500 0.2500

MgCdPb2: single point on PBEsol structure, SCAN.

## Properties
* ΔE_f: -3 kJ per mole of atoms
* space-group type: I4/mmm

Unit cell a=4.7820 b=4.7820 c=5.6343 alpha=115.11 beta=115.11 gamma=90.00
Sites, in units of the cell vectors:
Cd 0.5000 0.5000 0.0000
Pb 0.7500 0.2500 0.5000
Pb 0.2500 0.7500 0.5000
Mg 0.0000 0.0000 0.0000

KBa4Ni: single point on PBEsol structure, SCAN.

## Properties
* ΔE_f: 80 kJ per mole of atoms
* space-group type: F-43m

Unit cell a=7.4740 b=7.4740 c=7.4740 alpha=60.00 beta=60.00 gamma=60.00
Sites, in units of the cell vectors:
Ni 0.0000 0.0000 0.0000
Ba 0.8801 0.3733 0.3733
Ba 0.3733 0.3733 0.8801
Ba 0.3733 0.8801 0.3733
Ba 0.3733 0.3733 0.3733
K 0.7500 0.7500 0.7500

MnH6N2Cl2: single point on PBEsol structure, SCAN.

## Properties
* uncorrected energy: -0.54853 Ry per atom
* space-group type: C2

Unit cell a=3.7835 b=5.6868 c=5.6868 alpha=89.69 beta=92.23 gamma=92.23
Sites, in units of the cell vectors:
H 0.8430 0.5872 0.7773
H 0.2176 0.6936 0.6752
H 0.7824 0.3248 0.3064
H 0.1598 0.4281 0.2063
H 0.1570 0.2227 0.4128
H 0.8402 0.7937 0.5719
N 0.0277 0.2751 0.2588
N 0.9723 0.7412 0.7249
Cl 0.5000 0.7885 0.2115
Cl 0.5000 0.2273 0.7727
Mn 0.0000 0.0078 0.9922

SrMnIr2: single point on PBEsol structure, SCAN.

## Properties
* ΔE_f: 22 kJ per mole of atoms
* space-group type: P4mm

Unit cell a=3.1765 b=3.1765 c=7.2654 alpha=90.00 beta=90.00 gamma=90.00
Sites, in units of the cell vectors:
Ir 0.5000 0.5000 0.2700
Ir 0.0000 0.0000 0.0556
Sr 0.5000 0.5000 0.7601
Mn 0.0000 0.0000 0.4144

BePd2Pb2: single point on PBEsol structure, SCAN.

## Properties
* ΔE_f: 34 kJ per mole of atoms
* space-group type: I4/mmm

Unit cell a=3.7217 b=3.7217 c=7.8879 alpha=103.65 beta=103.65 gamma=90.00
Sites, in units of the cell vectors:
Pd 0.2500 0.7500 0.5000
Pd 0.7500 0.2500 0.5000
Pb 0.3926 0.3926 0.7851
Pb 0.6074 0.6074 0.2149
Be 0.0000 0.0000 0.0000

Mg2Au: single point on PBEsol structure, SCAN.

## Properties
* ΔE_f: -60 kJ per mole of atoms
* space-group type: I4/mmm

Unit cell a=4.5122 b=4.5122 c=4.5122 alpha=89.84 beta=120.09 gamma=120.09
Sites, in units of the cell vectors:
Mg 0.5000 0.7500 0.2500
Mg 0.5000 0.2500 0.7500
Au 0.0000 0.0000 0.0000

Cr2InCu: single point on PBEsol structure, SCAN.

## Properties
* ΔE_f: 45 kJ per mole of atoms
* space-group type: R3m

Unit cell a=2.8328 b=2.8328 c=8.3869 alpha=80.28 beta=80.28 gamma=60.00
Sites, in units of the cell vectors:
In 0.2509 0.2509 0.2472
Cr 0.7426 0.7426 0.7721
Cr 0.0148 0.0148 0.9555
Cu 0.4916 0.4916 0.5252

ZrSbSe2N: single point on PBEsol structure, SCAN.

## Properties
* formation energy (no corrections): 0.484 eV per atom
* space-group type: P4/mmm

Unit cell a=3.8638 b=5.2408 c=5.2408 alpha=90.00 beta=90.00 gamma=90.00
Sites, in units of the cell vectors:
N 0.5000 0.0000 0.0000
Zr 0.5000 0.5000 0.5000
Se 0.0000 0.5000 0.0000
Se 0.0000 0.0000 0.5000
Sb 0.0000 0.0000 0.0000

LiY2Tc: single point on PBEsol structure, SCAN.

## Properties
* ΔE_f: 18 kJ per mole of atoms
* space-group type: Imm2

Unit cell a=3.5311 b=4.8004 c=5.7893 alpha=114.49 beta=107.76 gamma=90.00
Sites, in units of the cell vectors:
Tc 0.2383 0.7383 0.4765
Y 0.7569 0.2569 0.5137
Y 0.9670 0.9670 0.9340
Li 0.5379 0.5379 0.0758

ScTc2Ir: single point on PBEsol structure, SCAN.

## Properties
* ΔE_f: -28 kJ per mole of atoms
* space-group type: Pmmm

Unit cell a=3.0460 b=4.3196 c=4.5625 alpha=90.00 beta=90.00 gamma=90.00
Sites, in units of the cell vectors:
Ir 0.5000 0.0000 0.5000
Tc 0.5000 0.5000 0.0000
Tc 0.0000 0.0000 0.0000
Sc 0.0000 0.5000 0.5000

AgAsSe2: single point on PBEsol structure, SCAN.

## Properties
* formation energy (no corrections): -0.107 eV per atom
* space-group type: P4mm

Unit cell a=3.7917 b=3.7917 c=6.0051 alpha=90.00 beta=90.00 gamma=90.00
Sites, in units of the cell vectors:
Se 0.5000 0.5000 0.4366
Se 0.0000 0.0000 0.8982
As 0.5000 0.5000 0.8317
Ag 0.0000 0.0000 0.3335

NaMnPCl2: single point on PBEsol structure, SCAN.

## Properties
* formation energy (no corrections): -0.791 eV per atom
* space-group type: P4/mmm

Unit cell a=4.4201 b=4.9574 c=4.9574 alpha=90.00 beta=90.00 gamma=90.00
Sites, in units of the cell vectors:
Mn 0.0000 0.0000 0.0000
P 0.5000 0.0000 0.0000
Na 0.5000 0.5000 0.5000
Cl 0.0000 0.5000 0.0000
Cl 0.0000 0.0000 0.5000

PPbSeN2: single point on PBEsol structure, SCAN.

## Properties
* formation energy (no corrections): 1.973 eV per atom
* space-group type: P4/mmm

Unit cell a=4.1987 b=4.1987 c=5.8850 alpha=90.00 beta=90.00 gamma=90.00
Sites, in units of the cell vectors:
N 0.5000 0.0000 0.0000
N 0.0000 0.5000 0.0000
P 0.5000 0.5000 0.5000
Pb 0.0000 0.0000 0.0000
Se 0.0000 0.0000 0.5000

Zr2CrRu: single point on PBEsol structure, SCAN.

## Properties
* ΔE_f: 5 kJ per mole of atoms
* space-group type: F-43m

Unit cell a=4.4894 b=4.4894 c=4.4894 alpha=60.00 beta=60.00 gamma=60.00
Sites, in units of the cell vectors:
Cr 0.5000 0.5000 0.5000
Ru 0.2500 0.2500 0.2500
Zr 0.7500 0.7500 0.7500
Zr 0.0000 0.0000 0.0000

Sc2CdSb: single point on PBEsol structure, SCAN.

## Properties
* formation energy (no corrections): -0.616 eV per atom
* space-group type: P4/mmm

Unit cell a=3.7032 b=3.7032 c=6.3166 alpha=90.00 beta=90.00 gamma=90.00
Sites, in units of the cell vectors:
Sc 0.0000 0.0000 0.2420
Sc 0.0000 0.0000 0.7580
Cd 0.5000 0.5000 0.5000
Sb 0.5000 0.5000 0.0000

KC2F: single point on PBEsol structure, SCAN.

## Properties
* formation energy (no corrections): 2.499 eV per atom
* space-group type: Fm-3m

Unit cell a=4.4681 b=4.4681 c=4.4681 alpha=60.00 beta=60.00 gamma=60.00
Sites, in units of the cell vectors:
F 0.0000 0.0000 0.0000
K 0.5000 0.5000 0.5000
C 0.2500 0.2500 0.2500
C 0.7500 0.7500 0.7500

RbNbPbC2: single point on PBEsol structure, SCAN.

## Properties
* ΔE_f: 189 kJ per mole of atoms
* space-group type: P4/mmm

Unit cell a=4.3664 b=4.3664 c=5.4802 alpha=90.00 beta=90.00 gamma=90.00
Sites, in units of the cell vectors:
C 0.0000 0.5000 0.0000
C 0.5000 0.0000 0.0000
Nb 0.0000 0.0000 0.0000
Rb 0.0000 0.0000 0.5000
Pb 0.5000 0.5000 0.5000

Ta2FeRe: single point on PBEsol structure, SCAN.

## Properties
* ΔE_f: -32 kJ per mole of atoms
* space-group type: P4/mmm

Unit cell a=3.1244 b=3.1244 c=6.1411 alpha=90.00 beta=90.00 gamma=90.00
Sites, in units of the cell vectors:
Fe 0.5000 0.5000 0.0000
Ta 0.0000 0.0000 0.7579
Ta 0.0000 0.0000 0.2421
Re 0.5000 0.5000 0.5000

BaBe4Tl: single point on PBEsol structure, SCAN.

## Properties
* ΔE_f: 71 kJ per mole of atoms
* space-group type: F-43m

Unit cell a=5.2890 b=5.2890 c=5.2890 alpha=60.00 beta=60.00 gamma=60.00
Sites, in units of the cell vectors:
Ba 0.0000 0.0000 0.0000
Tl 0.7500 0.7500 0.7500
Be 0.3748 0.3748 0.3748
Be 0.8756 0.3748 0.3748
Be 0.3748 0.3748 0.8756
Be 0.3748 0.8756 0.3748

TaZnW: single point on PBEsol structure, SCAN.

## Properties
* ΔE_f: 28 kJ per mole of atoms
* space-group type: P3m1

Unit cell a=2.8029 b=2.8029 c=7.0641 alpha=90.00 beta=90.00 gamma=120.00
Sites, in units of the cell vectors:
Zn 0.6667 0.3333 0.3377
W 0.3333 0.6667 0.6559
Ta 0.0000 0.0000 0.0064

Y2CdIn: single point on PBEsol structure, SCAN.

## Properties
* ΔE_f: -58 kJ per mole of atoms
* space-group type: P4/mmm

Unit cell a=3.7001 b=5.2177 c=5.2174 alpha=90.00 beta=90.00 gamma=90.00
Sites, in units of the cell vectors:
In 0.5000 0.8750 0.5000
Y 0.0000 0.8751 0.0000
Y 0.0000 0.3750 0.5000
Cd 0.5000 0.3749 0.0000

SiMo2Au: single point on PBEsol structure, SCAN.

## Properties
* formation energy (no corrections): 0.137 eV per atom
* space-group type: I-4m2

Unit cell a=3.9063 b=3.9063 c=4.7970 alpha=114.03 beta=114.03 gamma=90.00
Sites, in units of the cell vectors:
Mo 0.7500 0.2500 0.5000
Mo 0.0000 0.0000 0.0000
Si 0.5000 0.5000 0.0000
Au 0.2500 0.7500 0.5000

SrAl2Ni: single point on PBEsol structure, SCAN.

## Properties
* ΔE_f: -37 kJ per mole of atoms
* space-group type: R-3m

Unit cell a=4.1680 b=4.1680 c=6.1574 alpha=70.22 beta=70.22 gamma=60.00
Sites, in units of the cell vectors:
Al 0.6964 0.6964 0.9107
Al 0.3036 0.3036 0.0893
Ni 0.0000 0.0000 0.0000
Sr 0.5000 0.5000 0.5000

SbTeAu2: single point on PBEsol structure, SCAN.

## Properties
* formation energy (no corrections): -0.127 eV per atom
* space-group type: R3m

Unit cell a=4.1511 b=4.1511 c=6.6526 alpha=71.82 beta=71.82 gamma=60.00
Sites, in units of the cell vectors:
Sb 0.4830 0.4830 0.5510
Au 0.7467 0.7467 0.7599
Au 0.0060 0.0060 0.9820
Te 0.2643 0.2643 0.2072

Tc2C: single point on PBEsol structure, SCAN.

## Properties
* ΔE_f: 3 kJ per mole of atoms
* space-group type: R3m

Unit cell a=2.8046 b=2.8046 c=5.1696 alpha=74.26 beta=74.26 gamma=60.00
Sites, in units of the cell vectors:
Tc 0.4254 0.4254 0.7237
Tc 0.2391 0.2391 0.2827
C 0.0022 0.0022 0.9935

LaY2Sc: single point on PBEsol structure, SCAN.

## Properties
* ΔE_f: 7 kJ per mole of atoms
* space-group type: P4/mmm

Unit cell a=3.4814 b=3.4814 c=9.8128 alpha=90.00 beta=90.00 gamma=90.00
Sites, in units of the cell vectors:
Y 0.0000 0.0000 0.7327
Y 0.0000 0.0000 0.2673
Sc 0.5000 0.5000 0.5000
La 0.5000 0.5000 0.0000

Mg3TcPt: single point on PBEsol structure, SCAN.

## Properties
* ΔE_f: 105 kJ per mole of atoms
* space-group type: Pm-3m

Unit cell a=4.7770 b=4.7770 c=4.7770 alpha=90.00 beta=90.00 gamma=90.00
Sites, in units of the cell vectors:
Tc 0.0000 0.0000 0.0000
Mg 0.0000 0.0000 0.5000
Mg 0.0000 0.5000 0.0000
Mg 0.5000 0.0000 0.0000
Pt 0.5000 0.5000 0.5000

CaAl2: single point on PBEsol structure, SCAN.

## Properties
* ΔE_f: -32 kJ per mole of atoms
* space-group type: Fd-3m

Unit cell a=5.6170 b=5.6170 c=5.6170 alpha=60.00 beta=60.00 gamma=60.00
Sites, in units of the cell vectors:
Ca 0.7500 0.7500 0.7500
Ca 0.5000 0.5000 0.5000
Al 0.1250 0.1250 0.6250
Al 0.6250 0.1250 0.1250
Al 0.1250 0.1250 0.1250
Al 0.1250 0.6250 0.1250

| no. | mass density (g/cm3) | volume (Å³/cell) | total moment (Bohr magnetons per cell) |
| --- | --- | --- | --- |
| 1 | 4.9 | 94 | 0.3 |
| 2 | 4.4 | 81 | 8.7 |
| 3 | 8.9 | 103 | 0.0 |
| 4 | 3.6 | 295 | 1.9 |
| 5 | 2.2 | 122 | 5.0 |
| 6 | 11.9 | 73 | 3.5 |
| 7 | 10.3 | 103 | 0.0 |
| 8 | 6.3 | 65 | 0.0 |
| 9 | 8.2 | 57 | 0.0 |
| 10 | 6.0 | 106 | 1.5 |
| 11 | 5.6 | 84 | 0.0 |
| 12 | 12.0 | 60 | 0.0 |
| 13 | 6.6 | 86 | 0.0 |
| 14 | 2.7 | 109 | 3.0 |
| 15 | 5.5 | 104 | 3.9 |
| 16 | 8.7 | 64 | 0.0 |
| 17 | 6.2 | 87 | 1.0 |
| 18 | 2.2 | 63 | 4.0 |
| 19 | 6.5 | 104 | 0.0 |
| 20 | 16.7 | 60 | 1.0 |
| 21 | 6.0 | 105 | 0.0 |
| 22 | 14.9 | 48 | 0.0 |
| 23 | 6.7 | 101 | 0.0 |
| 24 | 11.6 | 60 | 0.0 |
| 25 | 3.9 | 85 | 0.5 |
| 26 | 11.5 | 93 | 0.0 |
| 27 | 10.3 | 33 | 0.0 |
| 28 | 5.0 | 119 | 1.3 |
| 29 | 5.6 | 109 | 1.5 |
| 30 | 2.5 | 125 | 0.0 |